No. 1
The following is a DFT calculation (PBE) of an optimized crystal structure of Ba2Al2In.

abc: 7.6426 7.6426 5.5416
angles: 90.00 90.00 90.00
Positions (direct):
Ba  0.6820  0.8180  0.5000
In  0.0000  0.0000  0.0000
Al  0.8763  0.6237  0.0000
Al  0.1237  0.3763  0.0000
Ba  0.1820  0.6820  0.5000
Ba  0.8180  0.3180  0.5000
Ba  0.3180  0.1820  0.5000
Al  0.3763  0.8763  0.0000
Al  0.6237  0.1237  0.0000
In  0.5000  0.5000  0.0000

Calculated values
Its space-group type is P4/mbm.

No. 2
The following is a DFT calculation (PBE) of an optimized crystal structure of Ba2AlIn.

abc: 6.4459 6.4459 6.4459
angles: 132.45 132.45 69.51
Positions (direct):
In  0.5000  0.5000  0.0000
Ba  0.2500  0.7500  0.5000
Ba  0.0000  0.0000  0.0000
Al  0.7500  0.2500  0.5000

Calculated values
Its space-group type is I-4m2.

no.,magnetic moment (μB/cell),energy relative to the elements (meV per atom),uncorrected energy (eV per atom)
1,0.00,-151,-2.9647
2,0.00,-63,-2.6445